ZnCd2Ag after structural relaxation. Source: Alexandria, functional GGA-PBE.

Cell lengths 3.2724, 4.0935, 5.7892 Å; angles 90.00, 91.23, 90.00 degrees
Last column: nearest neighbours and their distance in Å.
Space group P2/m (No. 10)
One atom of each set of equivalent atoms:
Zn 0.0000 0.0000 0.0000 x1  2 Ag 2.89, 8 Cd 2.96-3.02
Cd 0.4940 0.5000 0.2478 x2  2 Cd 2.87-2.92, 4 Zn 2.96-3.02, 4 Ag 2.99-3.01
Ag 0.0000 0.0000 0.5000 x1  2 Zn 2.89, 8 Cd 2.99-3.01

## Properties
Energy of formation from the pure elements   0.015 eV/atom
Size of the total moment   0.00 μB/atom
Total DFT energy (no corrections)   -1.4735 eV per atom